[1]
Entry from Alexandria via LeMat-Bulk: an optimized crystal structure of LiPr2MgTe4 (GGA-PBE).

Lattice parameters (Å, degrees): 4.3777 7.6877 7.5680 71.18 90.00 90.00
Closest atoms and distances in Å follow each position.
Sites, in units of the cell vectors:
Li1 0.5000 0.5000 0.0000  6 Te 3.00-3.04
Pr1 0.0000 0.0000 0.0000  6 Te 3.21-3.23
Pr2 0.5000 0.0000 0.5000  6 Te 3.20-3.21
Mg1 0.0000 0.5000 0.5000  6 Te 3.00-3.02
Te1 0.0000 0.7285 0.7543  1 Mg 3.00, 2 Li 3.04, 3 Pr 3.20-3.21
Te2 0.0000 0.2715 0.2457  1 Mg 3.00, 2 Li 3.04, 3 Pr 3.20-3.21
Te3 0.5000 0.7254 0.2581  1 Li 3.00, 2 Mg 3.02, 3 Pr 3.21-3.23
Te4 0.5000 0.2746 0.7419  1 Li 3.00, 2 Mg 3.02, 3 Pr 3.21-3.23

Summary:
E	-35.2	eV/cell
space-group type	P2/m
total moment	0.0000	μB/atom
ΔE_f (raw)	-1.1929	eV per atom


[2]
Entry from Alexandria via LeMat-Bulk: an optimized crystal structure of LiPrMgTe3 (GGA-PBE).

Lattice parameters (Å, degrees): 4.3249 8.6660 9.5480 104.54 90.00 90.00
Closest atoms and distances in Å follow each position.
Sites, in units of the cell vectors:
Li1 0.2500 0.0906 0.5918  4 Te 2.70-2.80, 2 Li 2.97
Li2 0.7500 0.9094 0.4082  4 Te 2.70-2.80, 2 Li 2.97
Pr1 0.2500 0.1945 0.2417  7 Te 3.22-3.39
Pr2 0.7500 0.8055 0.7583  7 Te 3.22-3.39
Mg1 0.2500 0.6683 0.1624  6 Te 2.91-3.07
Mg2 0.7500 0.3317 0.8376  6 Te 2.91-3.07
Te1 0.7500 0.9056 0.1246  1 Li 2.70
Te2 0.2500 0.0944 0.8754  1 Li 2.70
Te3 0.2500 0.7578 0.4905  3 Li 2.75-2.80, 1 Mg 3.03
Te4 0.7500 0.2422 0.5095  3 Li 2.75-2.80, 1 Mg 3.03
Te5 0.7500 0.4286 0.1518  3 Mg 2.91-2.98, 2 Pr 3.22
Te6 0.2500 0.5714 0.8482  3 Mg 2.91-2.98, 2 Pr 3.22

Summary:
E	-48.8	eV/cell
space-group type	P2_1/m
total moment	0.0000	μB/atom
ΔE_f (raw)	-1.1149	eV per atom


[3]
Entry from Alexandria via LeMat-Bulk: an optimized crystal structure of Li2Pr2ThMg5 (GGA-PBE).

Lattice parameters (Å, degrees): 4.4956 10.7588 10.7588 90.00 90.00 90.00
Closest atoms and distances in Å follow each position.
Sites, in units of the cell vectors:
Li1 0.0000 0.1110 0.6110  6 Mg 2.81-2.96, 1 Pr 3.12
Li2 0.0000 0.8890 0.3890  6 Mg 2.81-2.96, 1 Pr 3.12
Li3 0.0000 0.6110 0.8890  6 Mg 2.81-2.96, 1 Pr 3.12
Li4 0.0000 0.3890 0.1110  6 Mg 2.81-2.96, 1 Pr 3.12
Pr1 0.0000 0.6840 0.1840  3 Li 3.12-3.27
Pr2 0.0000 0.3160 0.8160  3 Li 3.12-3.27
Pr3 0.0000 0.1840 0.3160  3 Li 3.12-3.27
Pr4 0.0000 0.8160 0.6840  3 Li 3.12-3.27
Th1 0.0000 0.0000 0.0000  8 Mg 3.31
Th2 0.0000 0.5000 0.5000  8 Mg 3.31
Mg1 0.5000 0.2186 0.0567  2 Li 2.96, 1 Mg 3.09, 2 Th 3.31
Mg2 0.5000 0.7814 0.9433  2 Li 2.96, 1 Mg 3.09, 2 Th 3.31
Mg3 0.5000 0.0567 0.7814  2 Li 2.96, 1 Mg 3.09, 2 Th 3.31
Mg4 0.5000 0.7186 0.4433  2 Li 2.96, 1 Mg 3.09, 2 Th 3.31
Mg5 0.5000 0.9433 0.2186  2 Li 2.96, 1 Mg 3.09, 2 Th 3.31
Mg6 0.5000 0.2814 0.5567  2 Li 2.96, 1 Mg 3.09, 2 Th 3.31
Mg7 0.5000 0.5567 0.7186  2 Li 2.96, 1 Mg 3.09, 2 Th 3.31
Mg8 0.5000 0.4433 0.2814  2 Li 2.96, 1 Mg 3.09, 2 Th 3.31
Mg9 0.5000 0.5000 0.0000  4 Li 2.81, 4 Mg 3.09
Mg10 0.5000 0.0000 0.5000  4 Li 2.81, 4 Mg 3.09

Summary:
E	-57.6	eV/cell
space-group type	P4/mbm
total moment	0.0000	μB/atom
E_form	-0.03	eV per formula unit


[4]
Entry from Alexandria via LeMat-Bulk: an optimized crystal structure of LiPrThMg (GGA-PBE).

Lattice parameters (Å, degrees): 5.4203 5.4203 5.4203 60.00 60.00 60.00
Closest atoms and distances in Å follow each position.
Sites, in units of the cell vectors:
Pr1 0.5000 0.5000 0.5000  4 Li 3.32, 4 Mg 3.32
Mg1 0.2500 0.2500 0.2500  4 Pr 3.32, 4 Th 3.32
Th1 0.0000 0.0000 0.0000  4 Mg 3.32, 4 Li 3.32
Li1 0.7500 0.7500 0.7500  4 Th 3.32, 4 Pr 3.32

Summary:
E	-15.2	eV/cell
space-group type	F-43m
total moment	0.0000	μB/atom
E_form	0.50	eV per formula unit